# SrSi3Pd3 | Alexandria via LeMat-Bulk | PBE | optimized geometry
data_SrSi3Pd3
_chemical_formula_sum 'Sr2 Si6 Pd6'
_space_group_name_H-M_alt 'P 63/m'
_space_group_IT_number 176
_space_group_name_Hall '-P 6c'
_cell_length_a 9.1402
_cell_length_b 9.1402
_cell_length_c 4.1909
_cell_angle_alpha 90.00
_cell_angle_beta 90.00
_cell_angle_gamma 120.00
loop_
_atom_site_label
_atom_site_fract_x
_atom_site_fract_y
_atom_site_fract_z
_atom_site_occupancy
Sr1 0.3333 0.6667 0.2500 1
Si1 0.0508 0.6267 0.7500 1
Pd1 0.0861 0.3744 0.7500 1
# **Formation energy (no corrections)**: -2.824 eV per formula unit
# **E above lowest polymorph**: 1.06 kcal/mol of atoms
# **Calculated density**: 5.38 Mg/m³
# **Total magnetization**: 0.000 μB per formula unit